1.
The following is a PBEsol calculation of a relaxed structure of KOs2Se, from the Alexandria database.

Calculated values
crystal system: orthorhombic
SG: Immm (71)

Cell: 2.795 4.758 5.907 Å, 113.75 103.68 90.00°
Atoms (fractional coordinates):
Os  0.216  0.216  0.431
Os  0.784  0.784  0.569
K  0.000  0.500  0.000
Se  0.500  0.000  0.000

=====

2.
The following is a PBEsol calculation of a relaxed structure of K3OsSe, from the Alexandria database.

Calculated values
crystal system: cubic
SG: Pm-3m (221)

Cell: 6.102 6.102 6.102 Å, 90.00 90.00 90.00°
Atoms (fractional coordinates):
K  0.000  0.500  0.000
K  0.500  0.000  0.000
K  0.000  0.000  0.500
Se  0.000  0.000  0.000
Os  0.500  0.500  0.500

=====

Number 1: ΔE_f (raw) 0.970 eV/atom. Number 2: ΔE_f (raw) 0.831 eV/atom.